# 1
Density functional theory data (PBE) for an optimized crystal structure of Sr2LaWN4.

a b c (Å): 7.8100 7.1267 5.6995
angles (deg): 90.00 90.00 90.00
Space group Pmn2_1 (No. 31)
Unique sites:
1 Sr 0.2489 0.1569 0.0000
2 La 0.0000 0.6473 0.0072
3 W 0.0000 0.3391 0.5338
4 N 0.0000 0.3447 0.8629
5 N 0.0000 0.5986 0.4447
6 N 0.2067 0.2129 0.4514

Output
- M_tot (μB/cell) = 2.00
- raw formation energy (eV/f.u.) = -7.820
- calculated volume (Å³ per cell) = 317
- electronic total energy (eV/atom) = -7.7957

***

# 2
Density functional theory data (PBE) for an optimized crystal structure of La8Te4As3Se.

a b c (Å): 8.8614 8.8614 22.3203
angles (deg): 90.00 90.00 120.00
Space group R-3m (No. 166, hexagonal axes)
Unique sites:
1 La 0.0000 0.0000 0.2409
2 La 0.0038 0.5019 0.7588
3 Te 0.0000 0.0000 0.0000
4 Te 0.0000 0.5000 0.0000
5 As 0.0000 0.5000 0.5000
6 Se 0.0000 0.0000 0.5000

Output
- M_tot (μB/cell) = 0.00
- raw formation energy (eV/f.u.) = -27.038
- calculated volume (Å³ per cell) = 1518
- electronic total energy (eV/atom) = -6.0286

***

# 3
Density functional theory data (PBE) for an optimized crystal structure of Nb8C3N4.

a b c (Å): 8.8753 8.9457 6.2678
angles (deg): 90.00 134.71 90.00
Space group C2/m (No. 12)
Unique sites:
1 Nb 0.0000 0.2381 0.0000
2 Nb 0.0000 0.2457 0.5000
3 Nb 0.2354 0.0000 0.4927
4 Nb 0.2490 0.5000 0.9998
5 C 0.0000 0.0000 0.0000
6 C 0.2500 0.2500 0.0000
7 N 0.0000 0.5000 0.0000
8 N 0.0000 0.5000 0.5000
9 N 0.2500 0.2500 0.5000

Output
- M_tot (μB/cell) = 0.00
- raw formation energy (eV/f.u.) = -10.975
- calculated volume (Å³ per cell) = 354
- electronic total energy (eV/atom) = -10.1671

***

# 4
Density functional theory data (PBE) for an optimized crystal structure of TbNdLuAl.

a b c (Å): 7.6016 7.6016 7.6016
angles (deg): 90.00 90.00 90.00
Space group F-43m (No. 216)
Unique sites:
1 Tb 0.0000 0.0000 0.0000
2 Nd 0.0000 0.0000 0.5000
3 Lu 0.2500 0.2500 0.2500
4 Al 0.2500 0.2500 0.7500

Output
- calculated formation energy (eV/atom) = -0.078
- M_tot (μB/cell) = 0.00
- calculated volume (Å³ per cell) = 439
- electronic total energy (eV/atom) = -4.4934

***

# 5
Density functional theory data (PBE) for an optimized crystal structure of MgMnCr2.

a b c (Å): 2.5512 4.1300 5.0997
angles (deg): 90.00 102.27 90.00
Space group P2/m (No. 10)
Unique sites:
1 Mg 0.0000 0.0000 0.0000
2 Mn 0.5000 0.0000 0.5000
3 Cr 0.2333 0.5000 0.7133

Output
- calculated formation energy (eV/atom) = 0.398
- M_tot (μB/cell) = 1.17
- calculated volume (Å³ per cell) = 53
- electronic total energy (eV/atom) = -7.1051

***

# 6
Density functional theory data (PBE) for an optimized crystal structure of KCo3Rh.

a b c (Å): 4.7191 4.7191 4.7191
angles (deg): 90.00 90.00 90.00
Space group Pm-3m (No. 221)
Unique sites:
1 K 0.0000 0.0000 0.0000
2 Co 0.0000 0.5000 0.5000
3 Rh 0.5000 0.5000 0.5000

Output
- calculated formation energy (eV/atom) = 1.118
- M_tot (μB/cell) = 6.83
- calculated volume (Å³ per cell) = 105
- electronic total energy (eV/atom) = -4.8352
- energy relative to the lowest polymorph listed for this composition (eV per atom) = 0.000

***

- Look up the electronic total energy of the sixth one.
  -4.8352 eV/atom

***

- calculated volume of number 4 (TbNdLuAl)?
  439 Å³ per cell

***

What did the first record say?
Density functional theory data (PBE) for an optimized crystal structure of Sr2LaWN4.

a b c (Å): 7.8100 7.1267 5.6995
angles (deg): 90.00 90.00 90.00
Space group Pmn2_1 (No. 31)
Unique sites:
1 Sr 0.2489 0.1569 0.0000
2 La 0.0000 0.6473 0.0072
3 W 0.0000 0.3391 0.5338
4 N 0.0000 0.3447 0.8629
5 N 0.0000 0.5986 0.4447
6 N 0.2067 0.2129 0.4514

Output
- M_tot (μB/cell) = 2.00
- raw formation energy (eV/f.u.) = -7.820
- calculated volume (Å³ per cell) = 317
- electronic total energy (eV/atom) = -7.7957